# 1
Density functional theory data (PBE-GGA) for a relaxed structure of Zr4ZnC2S. Values from VASP.

Output
Crystal system = hexagonal
Symmetry = P-6m2 (187)
Uncorrected energy = -8.17 eV/atom

Cell and atoms, written as Quantum ESPRESSO input:
```
&SYSTEM
  ibrav = 0, nat = 8, ntyp = 4
/
ATOMIC_SPECIES
Zr 91.22 Zr.upf
Zn 65.41 Zn.upf
C 12.01 C.upf
S 32.06 S.upf
CELL_PARAMETERS angstrom
3.3794 0.0000 0.0000
-1.6897 2.9266 0.0000
0.0000 0.0000 13.3060
ATOMIC_POSITIONS angstrom
Zr 0.0000 0.0000 1.8363
Zr 0.0000 0.0000 11.4697
Zr 1.6897 0.9755 4.3487
Zr 1.6897 0.9755 8.9573
Zn 0.0000 0.0000 6.6530
C 0.0000 1.9511 3.1111
C 0.0000 1.9511 10.1949
S 1.6897 0.9755 0.0000
```

=====

# 2
Density functional theory data (PBE-GGA) for a relaxed structure of SbAu7. Values from VASP.

Output
Crystal system = orthorhombic
Symmetry = Pmmn (59)
Uncorrected energy = -3.33 eV/atom

Cell and atoms, written as Quantum ESPRESSO input:
```
&SYSTEM
  ibrav = 0, nat = 16, ntyp = 2
/
ATOMIC_SPECIES
Sb 121.76 Sb.upf
Au 196.97 Au.upf
CELL_PARAMETERS angstrom
2.9624 0.0000 0.0000
0.0000 4.0495 0.0000
0.0000 0.0000 34.8899
ATOMIC_POSITIONS angstrom
Sb 0.7406 1.0124 6.1932
Sb 2.2218 3.0371 28.6967
Au 0.7406 1.0124 9.2641
Au 0.7406 1.0124 12.2486
Au 0.7406 1.0124 15.2206
Au 0.7406 1.0124 18.1822
Au 0.7406 1.0124 21.1431
Au 0.7406 1.0124 24.1243
Au 0.7406 1.0124 27.2125
Au 2.2218 3.0371 7.6774
Au 2.2218 3.0371 10.7656
Au 2.2218 3.0371 13.7469
Au 2.2218 3.0371 16.7077
Au 2.2218 3.0371 19.6694
Au 2.2218 3.0371 22.6414
Au 2.2218 3.0371 25.6258
```

=====

What is the uncorrected energy in the second record? -3.33 eV/atom

=====

Look up the uncorrected energy of the first one. -8.17 eV/atom